Entry 1:
Material: Pa4N3O8
Method: DFT, GGA-PBE
State: relaxed

total magnetization = 1.95 μB/f.u.
formation energy (no corrections) = -2.195 eV per atom

Structure (POSCAR):
```
Pa4N3O8
1.0
-6.769 1.201 3.789
-6.824 -0.895 -3.775
-4.668 -6.073 1.717
O Pa N
16 8 6
direct
0.663 0.010 0.663 O
0.337 0.337 0.990 O
0.646 0.118 0.118 O
0.663 0.663 0.010 O
0.882 0.354 0.882 O
0.118 0.646 0.118 O
0.118 0.118 0.646 O
0.354 0.882 0.882 O
0.337 0.337 0.337 O
0.663 0.663 0.663 O
0.990 0.337 0.337 O
0.882 0.882 0.354 O
0.337 0.990 0.337 O
0.010 0.663 0.663 O
0.118 0.118 0.118 O
0.882 0.882 0.882 O
0.500 0.500 0.000 Pa
0.500 0.000 0.000 Pa
0.000 0.500 0.500 Pa
0.000 0.500 0.000 Pa
0.500 0.000 0.500 Pa
0.500 0.500 0.500 Pa
0.000 0.000 0.000 Pa
0.000 0.000 0.500 Pa
0.684 0.316 0.684 N
0.684 0.316 0.316 N
0.316 0.684 0.684 N
0.316 0.316 0.684 N
0.684 0.684 0.316 N
0.316 0.684 0.316 N
```

=====

Entry 2:
Material: Na4GaSn
Method: DFT, GGA-PBE
State: relaxed

total magnetization = 0.00 μB/f.u.
polymorph energy (0 for the lowest one) = 0.038 eV per atom

Structure (POSCAR):
```
Na4GaSn
1.0
-2.782 -2.142 -3.560
6.811 0.087 -5.374
0.250 -6.112 7.221
Na Ga Sn
8 2 2
direct
0.648 0.908 0.301 Na
0.352 0.607 0.699 Na
0.172 0.684 0.369 Na
0.352 0.092 0.699 Na
0.828 0.316 0.631 Na
0.000 0.176 0.000 Na
0.648 0.393 0.301 Na
0.000 0.824 0.000 Na
0.729 0.487 0.974 Ga
0.271 0.513 0.026 Ga
0.185 0.185 0.370 Sn
0.815 0.815 0.630 Sn
```

=====

- Which of these has the lowest total magnetization?
  Na4GaSn